[1]
A relaxed structure of Li4TlPt. Source: the Alexandria database, functional GGA-PBE.

a b c (Å): 7.113 7.113 5.035
angles (deg): 101.91 101.91 59.00
Fractional positions:
Li (0.082, 0.679, 0.419)
Li (0.196, 0.804, 0.000)
Li (0.321, 0.918, 0.581)
Li (0.335, 0.335, 0.721)
Li (0.665, 0.665, 0.279)
Li (0.679, 0.082, 0.419)
Li (0.804, 0.196, 0.000)
Li (0.918, 0.321, 0.581)
Tl (0.214, 0.214, 0.132)
Tl (0.786, 0.786, 0.868)
Pt (0.455, 0.455, 0.231)
Pt (0.545, 0.545, 0.769)

Computed properties:
The formation enthalpy at 0 K comes out at -0.2960 eV/atom. The calculation puts the energy above the most stable polymorph in this dataset at 34 meV/atom. The calculation puts the electronic total energy at -35.7 eV/cell. The total magnetization is 0.00 μB per formula unit.


[2]
A relaxed structure of ScAl2Cd. Source: the Alexandria database, functional GGA-PBE.

a b c (Å): 5.382 5.382 4.923
angles (deg): 105.47 105.47 35.23
Fractional positions:
Sc (0.000, 0.000, 0.000)
Al (0.250, 0.250, 0.779)
Al (0.519, 0.519, 0.519)
Cd (0.764, 0.764, 0.295)

Computed properties:
The formation enthalpy at 0 K comes out at -0.1530 eV/atom. The calculation puts the electronic total energy at -15.3 eV/cell. The total magnetization is 0.00 μB per formula unit.